A plane-wave DFT calculation with PBE was carried out for a relaxed MgOsW crystal.

a = 4.413 Å, b = 4.413 Å, c = 2.788 Å
α = 90.00°, β = 90.00°, γ = 120.00°
Sites, in units of the cell vectors:
1 W 0.333 0.667 0.618
2 Os 0.667 0.333 0.367
3 Mg 0.000 0.000 0.015

Properties
The energy above the most stable polymorph in this dataset is 0.071 eV per atom. As for the total energy: -8.3692 eV/atom. As for the space-group type: P3m1, No. 156. Its energy relative to the elements is 0.22 eV/atom.